1.
A relaxed structure of Cs2CaWBr6, computed with GGA-PBE.

a b c (Å): 7.8113 7.8113 7.8109
angles (deg): 60.00 60.00 90.00
Closest atoms and distances in Å follow each position.
Sites, in units of the cell vectors:
1 Br 0.2385 0.2385 0.5231  1 W 2.63, 1 Ca 2.89
2 Br 0.7615 0.7615 0.4769  1 W 2.63, 1 Ca 2.89
3 Cs 0.7500 0.2500 0.5000  12 Br 3.91
4 Cs 0.2500 0.7500 0.5000  12 Br 3.91
5 Br 0.7616 0.7616 0.0000  1 W 2.63, 1 Ca 2.89
6 Br 0.2384 0.2384 0.0000  1 W 2.63, 1 Ca 2.89
7 Br 0.2384 0.7616 0.0000  1 W 2.63, 1 Ca 2.89
8 Br 0.7616 0.2384 0.0000  1 W 2.63, 1 Ca 2.89
9 Ca 0.5000 0.5000 0.0000  6 Br 2.89
10 W 0.0000 0.0000 0.0000  6 Br 2.63

For the total magnetization, the calculation gives 2.00 μB per cell. As for the crystal system: cubic. The value obtained for the uncorrected formation energy is -1.143 eV/atom. The space-group type is Fm-3m, No. 225. The energy is -38.126 eV for the cell shown.

---

2.
A relaxed structure of CsCa2YBr8, computed with GGA-PBE.

a b c (Å): 7.0957 6.8365 9.3638
angles (deg): 89.91 89.94 88.91
Closest atoms and distances in Å follow each position.
Sites, in units of the cell vectors:
1 Br 0.3995 0.2696 0.5004  2 Ca 2.90
2 Br 0.6761 0.7421 0.9998  1 Y 2.92, 2 Ca 3.15-3.16
3 Y 0.0000 0.0000 0.0000  6 Br 2.80-2.92
4 Br 0.8310 0.2465 0.2032  1 Y 2.80, 1 Ca 2.93
5 Br 0.1680 0.7527 0.2035  1 Y 2.80, 1 Ca 2.93
6 Ca 0.5001 0.4999 0.7479  6 Br 2.90-3.16
7 Br 0.8320 0.2473 0.7965  1 Y 2.80, 1 Ca 2.93
8 Br 0.3239 0.2579 0.0002  1 Y 2.92, 2 Ca 3.15-3.16
9 Br 0.6005 0.7304 0.4996  2 Ca 2.90
10 Ca 0.4999 0.5001 0.2521  6 Br 2.90-3.16
11 Br 0.1690 0.7535 0.7968  1 Y 2.80, 1 Ca 2.93
12 Cs 0.0000 0.0000 0.5000  6 Br 3.41-3.45

For the total magnetization, the calculation gives 0.00 μB per cell. As for the crystal system: triclinic. The value obtained for the uncorrected formation energy is -1.884 eV/atom. The space-group type is P-1, No. 2. The energy is -47.318 eV for the cell shown.

---

3.
A relaxed structure of CsCaZnBr5, computed with GGA-PBE.

a b c (Å): 8.1591 8.1591 10.5201
angles (deg): 104.40 104.40 105.70
Closest atoms and distances in Å follow each position.
Sites, in units of the cell vectors:
1 Br 0.3906 0.2347 0.0742  1 Zn 2.47
2 Br 0.3138 0.8952 0.6158  1 Zn 2.45
3 Br 0.8952 0.3138 0.1158  1 Zn 2.45
4 Zn 0.3111 0.6889 0.7500  4 Br 2.45-2.47
5 Cs 0.6544 0.3456 0.7500  5 Br 3.53-3.63
6 Br 0.0746 0.9254 0.2500  2 Ca 2.80
7 Br 0.6094 0.7653 0.9258  1 Zn 2.47
8 Br 0.2347 0.3906 0.5742  1 Zn 2.47
9 Br 0.1048 0.6862 0.8842  1 Zn 2.45
10 Cs 0.3456 0.6544 0.2500  5 Br 3.53-3.63
11 Br 0.6862 0.1048 0.3842  1 Zn 2.45
12 Ca 0.0000 0.0000 0.5000  6 Br 2.80-3.02
13 Br 0.7653 0.6094 0.4258  1 Zn 2.47
14 Zn 0.6889 0.3111 0.2500  4 Br 2.45-2.47
15 Ca 0.0000 0.0000 0.0000  6 Br 2.80-3.02
16 Br 0.9254 0.0746 0.7500  2 Ca 2.80

For the total magnetization, the calculation gives 0.00 μB per cell. As for the crystal system: monoclinic. The value obtained for the uncorrected formation energy is -1.552 eV/atom. The space-group type is C2/c, No. 15. The energy is -49.820 eV for the cell shown.

---

4.
A relaxed structure of Cs2CaZnBr6, computed with GGA-PBE.

a b c (Å): 7.8692 7.8692 7.8648
angles (deg): 59.98 59.98 90.00
Closest atoms and distances in Å follow each position.
Sites, in units of the cell vectors:
1 Ca 0.5000 0.5000 0.0000  6 Br 2.90
2 Br 0.2397 0.2397 0.0000  1 Zn 2.67, 1 Ca 2.90
3 Br 0.7603 0.7603 0.0000  1 Zn 2.67, 1 Ca 2.90
4 Br 0.2397 0.7603 0.0000  1 Zn 2.67, 1 Ca 2.90
5 Zn 0.0000 0.0000 0.0000  6 Br 2.66-2.67
6 Br 0.7603 0.2397 0.0000  1 Zn 2.67, 1 Ca 2.90
7 Cs 0.2500 0.7500 0.5000  12 Br 3.93-3.94
8 Br 0.7609 0.7609 0.4782  1 Zn 2.66, 1 Ca 2.90
9 Cs 0.7500 0.2500 0.5000  12 Br 3.93-3.94
10 Br 0.2391 0.2391 0.5218  1 Zn 2.66, 1 Ca 2.90

For the total magnetization, the calculation gives 0.00 μB per cell. As for the crystal system: tetragonal. The value obtained for the uncorrected formation energy is -1.568 eV/atom. The space-group type is I4/mmm, No. 139. The energy is -30.698 eV for the cell shown.

---

5.
A relaxed structure of Cs2CaZrBr6, computed with GGA-PBE.

a b c (Å): 8.0152 8.0152 8.0150
angles (deg): 60.00 60.00 90.00
Closest atoms and distances in Å follow each position.
Sites, in units of the cell vectors:
1 Cs 0.2500 0.7500 0.5000  12 Br 4.01
2 Br 0.2458 0.7542 0.0000  1 Zr 2.79, 1 Ca 2.88
3 Zr 0.0000 0.0000 0.0000  6 Br 2.79
4 Cs 0.7500 0.2500 0.5000  12 Br 4.01
5 Br 0.2458 0.2458 0.5084  1 Zr 2.79, 1 Ca 2.88
6 Br 0.7542 0.7542 0.0000  1 Zr 2.79, 1 Ca 2.88
7 Br 0.2458 0.2458 0.0000  1 Zr 2.79, 1 Ca 2.88
8 Ca 0.5000 0.5000 0.0000  6 Br 2.88
9 Br 0.7542 0.2458 0.0000  1 Zr 2.79, 1 Ca 2.88
10 Br 0.7542 0.7542 0.4916  1 Zr 2.79, 1 Ca 2.88

For the total magnetization, the calculation gives 2.00 μB per cell. As for the crystal system: cubic. The value obtained for the uncorrected formation energy is -1.590 eV/atom. The space-group type is Fm-3m, No. 225. The energy is -38.192 eV for the cell shown.

---

6.
A relaxed structure of CaCuBr2, computed with GGA-PBE.

a b c (Å): 6.4717 6.4717 3.9567
angles (deg): 90.00 90.00 36.77
Closest atoms and distances in Å follow each position.
Sites, in units of the cell vectors:
1 Br 0.9629 0.9629 0.8750  1 Cu 2.71
2 Cu 0.7421 0.7421 0.8752  5 Br 2.71-2.85, 2 Ca 2.97-2.98
3 Br 0.2337 0.2337 0.3746  4 Cu 2.84-2.85, 2 Ca 2.94
4 Ca 0.5612 0.5612 0.3751  6 Br 2.94-3.09, 2 Cu 2.97-2.98

For the total magnetization, the calculation gives 0.00 μB per cell. As for the crystal system: orthorhombic. The value obtained for the uncorrected formation energy is -0.892 eV/atom. The space-group type is Amm2, No. 38. The value obtained for the energy above the most stable polymorph in this dataset is 0 meV/atom. The energy is -13.011 eV for the cell shown.

---

7.
A relaxed structure of Ca4CuBr, computed with GGA-PBE.

a b c (Å): 6.8869 6.8869 6.8869
angles (deg): 60.00 60.00 60.00
Closest atoms and distances in Å follow each position.
Sites, in units of the cell vectors:
1 Ca 0.3757 0.8728 0.3757  6 Ca 3.42-3.46
2 Ca 0.3757 0.3757 0.8728  6 Ca 3.42-3.46
3 Cu 0.7500 0.7500 0.7500  12 Ca 4.04, 4 Br 4.22
4 Br 0.0000 0.0000 0.0000  12 Ca 4.04, 4 Cu 4.22
5 Ca 0.3757 0.3757 0.3757  6 Ca 3.42-3.46
6 Ca 0.8728 0.3757 0.3757  6 Ca 3.42-3.46

For the total magnetization, the calculation gives 0.58 μB per cell. As for the crystal system: cubic. The value obtained for the uncorrected formation energy is 0.301 eV/atom. The space-group type is F-43m, No. 216. The energy is -11.968 eV for the cell shown.

---

8.
A relaxed structure of CaCuBr2, computed with GGA-PBE.

a b c (Å): 4.2666 4.2707 5.6277
angles (deg): 90.00 90.00 90.00
Closest atoms and distances in Å follow each position.
Sites, in units of the cell vectors:
1 Cu 0.5000 0.5000 0.7920  2 Br 2.76-2.87
2 Ca 0.0000 0.0000 0.4576  2 Br 2.76-2.87
3 Br 0.0000 0.0000 0.9481  2 Ca 2.76-2.87
4 Br 0.5000 0.5000 0.3023  2 Cu 2.76-2.87

For the total magnetization, the calculation gives 0.00 μB per cell. As for the crystal system: tetragonal. The value obtained for the uncorrected formation energy is -0.731 eV/atom. The space-group type is P4mm, No. 99. The value obtained for the energy above the most stable polymorph in this dataset is 161 meV/atom. The energy is -12.368 eV for the cell shown.

---

Question: What is the formula in the fourth record?
Answer: Cs2CaZnBr6